First-principles (PBE-GGA) data for a geometry-optimized Pu2ThCrC4 structure, as listed in the Alexandria database.

Values from the calculation:
Density of states at the Fermi level in states/eV per atom: 1.66
M_tot in Bohr magnetons per cell: 18.32
Calculated total energy in eV per cell: -165.4
Calculated formation energy in eV per atom: -0.01
Calculated volume in Å³/f.u.: 122

Unit cell a=6.0744 b=6.0744 c=11.9756 alpha=90.00 beta=90.00 gamma=146.62
Positions (direct):
Pu (0.1323, 0.8677, 0.5442)
Pu (0.1323, 0.8677, 0.9558)
Pu (0.8677, 0.1323, 0.0442)
Pu (0.8677, 0.1323, 0.4558)
Th (0.4018, 0.5982, 0.7500)
Th (0.5982, 0.4018, 0.2500)
Cr (0.3343, 0.6657, 0.2500)
Cr (0.6657, 0.3343, 0.7500)
C (0.0783, 0.9217, 0.7500)
C (0.2359, 0.7641, 0.1309)
C (0.2359, 0.7641, 0.3691)
C (0.5000, 0.5000, 0.0000)
C (0.5000, 0.5000, 0.5000)
C (0.7641, 0.2359, 0.6309)
C (0.7641, 0.2359, 0.8691)
C (0.9217, 0.0783, 0.2500)


First-principles (PBE-GGA) data for a geometry-optimized TbHgGeAu structure, as listed in the Alexandria database.

Values from the calculation:
Density of states at the Fermi level in states/eV per atom: 0.36
M_tot in Bohr magnetons per cell: 0.00
Calculated total energy in eV per cell: -14.5
Calculated formation energy in eV per atom: -0.41
Calculated volume in Å³/f.u.: 87

Unit cell a=4.9738 b=4.9738 c=4.9738 alpha=60.00 beta=60.00 gamma=60.00
Positions (direct):
Tb (0.0000, 0.0000, 0.0000)
Hg (0.5000, 0.5000, 0.5000)
Ge (0.2500, 0.2500, 0.2500)
Au (0.7500, 0.7500, 0.7500)


First-principles (PBE-GGA) data for a geometry-optimized AlHS structure, as listed in the Alexandria database.

Values from the calculation:
Density of states at the Fermi level in states/eV per atom: 0.00
M_tot in Bohr magnetons per cell: 0.00
Calculated total energy in eV per cell: -51.3
Calculated volume in Å³/f.u.: 49

Unit cell a=6.0786 b=6.0252 c=5.5490 alpha=90.00 beta=104.75 gamma=90.00
Positions (direct):
Al (0.0506, 0.0988, 0.2491)
Al (0.0506, 0.4012, 0.7491)
Al (0.9494, 0.5988, 0.2509)
Al (0.9494, 0.9012, 0.7509)
H (0.1385, 0.6238, 0.6046)
H (0.1385, 0.8762, 0.1046)
H (0.8615, 0.1238, 0.8954)
H (0.8615, 0.3762, 0.3954)
S (0.2516, 0.0953, 0.6666)
S (0.2516, 0.4047, 0.1666)
S (0.7484, 0.5953, 0.8334)
S (0.7484, 0.9047, 0.3334)


First-principles (PBE-GGA) data for a geometry-optimized CaPaBiO2 structure, as listed in the Alexandria database.

Values from the calculation:
Density of states at the Fermi level in states/eV per atom: 0.38
M_tot in Bohr magnetons per cell: 0.00
Formation energy without anion corrections in eV/atom: -2.4901
Calculated total energy in eV per cell: -37.7
Calculated volume in Å³/f.u.: 101

Unit cell a=7.0109 b=7.0109 c=7.0109 alpha=147.16 beta=147.16 gamma=47.13
Positions (direct):
Ca (0.0000, 0.0000, 0.0000)
Pa (0.3187, 0.3187, 0.0000)
Bi (0.6629, 0.6629, 0.0000)
O (0.3965, 0.8965, 0.5000)
O (0.8965, 0.3965, 0.5000)


First-principles (PBE-GGA) data for a geometry-optimized Zn3FeC structure, as listed in the Alexandria database.

Values from the calculation:
Density of states at the Fermi level in states/eV per atom: 0.95
M_tot in Bohr magnetons per cell: 2.66
Calculated total energy in eV per cell: -12.4
Calculated formation energy in eV per atom: 1.81
Calculated volume in Å³/f.u.: 96

Unit cell a=4.5794 b=4.5794 c=4.5794 alpha=90.00 beta=90.00 gamma=90.00
Positions (direct):
Zn (0.0000, 0.0000, 0.5000)
Zn (0.0000, 0.5000, 0.0000)
Zn (0.5000, 0.0000, 0.0000)
Fe (0.0000, 0.0000, 0.0000)
C (0.5000, 0.5000, 0.5000)


First-principles (PBE-GGA) data for a geometry-optimized CsSrI2 structure, as listed in the Alexandria database.

Values from the calculation:
Density of states at the Fermi level in states/eV per atom: 0.78
M_tot in Bohr magnetons per cell: 0.10
Formation energy without anion corrections in eV/atom: -1.2579
Calculated total energy in eV per cell: -10.7
Calculated volume in Å³/f.u.: 194

Unit cell a=9.9898 b=9.9898 c=9.9898 alpha=28.02 beta=28.02 gamma=28.02
Positions (direct):
Cs (0.0000, 0.0000, 0.0000)
Sr (0.5000, 0.5000, 0.5000)
I (0.2321, 0.2321, 0.2321)
I (0.7679, 0.7679, 0.7679)


First-principles (PBE-GGA) data for a geometry-optimized InPSeBr2 structure, as listed in the Alexandria database.

Values from the calculation:
Density of states at the Fermi level in states/eV per atom: 0.51
M_tot in Bohr magnetons per cell: 1.75
Formation energy without anion corrections in eV/atom: 0.4448
Calculated total energy in eV per cell: -12.8
Calculated volume in Å³/f.u.: 159

Unit cell a=5.2702 b=5.2702 c=5.7266 alpha=90.00 beta=90.00 gamma=90.00
Positions (direct):
In (0.0000, 0.0000, 0.0000)
P (0.5000, 0.5000, 0.5000)
Se (0.0000, 0.0000, 0.5000)
Br (0.0000, 0.5000, 0.0000)
Br (0.5000, 0.0000, 0.0000)


First-principles (PBE-GGA) data for a geometry-optimized Fe2AuBr structure, as listed in the Alexandria database.

Values from the calculation:
Density of states at the Fermi level in states/eV per atom: 0.34
M_tot in Bohr magnetons per cell: 6.30
Formation energy without anion corrections in eV/atom: 0.2353
Calculated total energy in eV per cell: -20.9
Calculated volume in Å³/f.u.: 77

Unit cell a=3.2901 b=3.5867 c=6.4997 alpha=90.00 beta=90.00 gamma=90.00
Positions (direct):
Fe (0.0000, 0.0000, 0.1798)
Fe (0.0000, 0.0000, 0.8202)
Au (0.5000, 0.5000, 0.0000)
Br (0.5000, 0.0000, 0.5000)


First-principles (PBE-GGA) data for a geometry-optimized PmPrSnHg structure, as listed in the Alexandria database.

Values from the calculation:
Density of states at the Fermi level in states/eV per atom: 0.91
M_tot in Bohr magnetons per cell: 0.00
Calculated total energy in eV per cell: -16.2
Calculated formation energy in eV per atom: -0.58
Calculated volume in Å³/f.u.: 115

Unit cell a=3.8751 b=3.8751 c=7.6471 alpha=90.00 beta=90.00 gamma=90.00
Positions (direct):
Pm (0.0000, 0.0000, 0.0000)
Pr (0.0000, 0.0000, 0.5080)
Sn (0.5000, 0.5000, 0.2494)
Hg (0.5000, 0.5000, 0.7617)


First-principles (PBE-GGA) data for a geometry-optimized DyHoTl structure, as listed in the Alexandria database.

Values from the calculation:
Density of states at the Fermi level in states/eV per atom: 0.85
M_tot in Bohr magnetons per cell: 0.00
Calculated total energy in eV per cell: -11.9
Calculated formation energy in eV per atom: -0.13
Calculated volume in Å³/f.u.: 87

Unit cell a=5.2436 b=5.2436 c=3.6702 alpha=90.00 beta=90.00 gamma=120.00
Positions (direct):
Dy (0.0000, 0.0000, 0.0000)
Ho (0.6667, 0.3333, 0.4633)
Tl (0.3333, 0.6667, 0.6966)


First-principles (PBE-GGA) data for a geometry-optimized Li5LaZn2 structure, as listed in the Alexandria database.

Values from the calculation:
Density of states at the Fermi level in states/eV per atom: 0.70
M_tot in Bohr magnetons per cell: 0.00
Calculated total energy in eV per cell: -17.6
Calculated formation energy in eV per atom: -0.07
Calculated volume in Å³/f.u.: 168

Unit cell a=7.0848 b=7.0848 c=7.0848 alpha=150.11 beta=104.94 gamma=82.83
Positions (direct):
Li (0.0000, 0.0000, 0.0000)
Li (0.0422, 0.3481, 0.6941)
Li (0.3461, 0.6519, 0.6941)
Li (0.6539, 0.3481, 0.3059)
Li (0.9578, 0.6519, 0.3059)
La (0.5000, 0.0000, 0.5000)
Zn (0.2600, 0.2600, 0.0000)
Zn (0.7400, 0.7400, 0.0000)


First-principles (PBE-GGA) data for a geometry-optimized NaTiSe2 structure, as listed in the Alexandria database.

Values from the calculation:
Density of states at the Fermi level in states/eV per atom: 0.39
M_tot in Bohr magnetons per cell: 0.85
Formation energy without anion corrections in eV/atom: -1.1594
Calculated total energy in eV per cell: -20.8
Calculated volume in Å³/f.u.: 86

Unit cell a=7.4876 b=7.4876 c=7.4876 alpha=28.84 beta=28.84 gamma=28.84
Positions (direct):
Na (0.0000, 0.0000, 0.0000)
Ti (0.8322, 0.8322, 0.8322)
Se (0.2359, 0.2359, 0.2359)
Se (0.4288, 0.4288, 0.4288)


> Which of these has the highest M_tot?

Pu2ThCrC4


> What is the formula in the eleventh record?

Li5LaZn2


> The highest M_tot belongs to which entry?

Pu2ThCrC4